{"formula": "ScMoNO2", "functional": "PBE+U", "state": "relaxed", "lattice": [[3.981, 0.000, 0.000], [0.000, 3.981, 0.000], [0.000, 0.000, 3.976]], "species": ["Sc", "Mo", "O", "O", "N"], "fractional_positions": [[0.500, 0.500, 0.500], [0.000, 0.000, 0.000], [0.000, 0.500, 0.000], [0.500, 0.000, 0.000], [0.000, 0.000, 0.500]], "e_tot_ev_per_atom": -7.4693, "crystal_system": "tetragonal", "dos_at_fermi_per_ev_fu": 2.12}